[1]
! Sr3LiH (SCAN, single point on PBEsol structure); values from VASP
&SYSTEM
  ibrav = 0, nat = 5, ntyp = 3
/
ATOMIC_SPECIES
Sr 87.62 Sr.upf
Li 6.94 Li.upf
H 1.01 H.upf
CELL_PARAMETERS angstrom
5.4954 0.0000 0.0000
0.0000 5.4954 0.0000
0.0000 0.0000 5.4954
ATOMIC_POSITIONS angstrom
Sr 0.0000 0.0000 2.7477
Sr 0.0000 2.7477 0.0000
Sr 2.7477 0.0000 0.0000
Li 2.7477 2.7477 2.7477
H 0.0000 0.0000 0.0000
! Electronic total energy ... -73.16 eV for the cell shown
! V ... 166.0 Å³/cell

---

[2]
! SrLiTcH2 (SCAN, single point on PBEsol structure); values from VASP
&SYSTEM
  ibrav = 0, nat = 5, ntyp = 4
/
ATOMIC_SPECIES
Sr 87.62 Sr.upf
Li 6.94 Li.upf
Tc 98.00 Tc.upf
H 1.01 H.upf
CELL_PARAMETERS angstrom
3.8792 0.0000 0.0000
0.0000 3.8792 0.0000
0.0000 0.0000 5.1386
ATOMIC_POSITIONS angstrom
Sr 0.0000 0.0000 0.0000
Li 1.9396 1.9396 0.0000
Tc 0.0000 0.0000 2.5693
H 0.0000 1.9396 2.5693
H 1.9396 0.0000 2.5693
! Electronic total energy ... -61.99 eV for the cell shown
! V ... 77.3 Å³/cell

---

[3]
! SrLiZrH2 (SCAN, single point on PBEsol structure); values from VASP
&SYSTEM
  ibrav = 0, nat = 5, ntyp = 4
/
ATOMIC_SPECIES
Sr 87.62 Sr.upf
Li 6.94 Li.upf
Zr 91.22 Zr.upf
H 1.01 H.upf
CELL_PARAMETERS angstrom
4.3018 0.0000 0.0000
0.0000 4.3018 0.0000
0.0000 0.0000 5.6753
ATOMIC_POSITIONS angstrom
Sr 0.0000 0.0000 0.0000
Li 0.0000 0.0000 2.8377
Zr 2.1509 2.1509 2.8377
H 0.0000 2.1509 0.0000
H 2.1509 0.0000 0.0000
! Electronic total energy ... -58.58 eV for the cell shown
! V ... 105.0 Å³/cell

---

[4]
! Li2TcH (SCAN, single point on PBEsol structure); values from VASP
&SYSTEM
  ibrav = 0, nat = 8, ntyp = 3
/
ATOMIC_SPECIES
Li 6.94 Li.upf
Tc 98.00 Tc.upf
H 1.01 H.upf
CELL_PARAMETERS angstrom
0.0000 3.3832 3.3832
3.3832 0.0000 3.3832
3.3832 3.3832 0.0000
ATOMIC_POSITIONS angstrom
Li 0.0000 0.0000 0.0000
Li 1.6916 1.6916 0.0000
Li 1.6916 0.0000 1.6916
Li 0.0000 1.6916 1.6916
Tc 2.5374 2.5374 2.5374
Tc 4.2290 4.2290 4.2290
H 0.8458 0.8458 0.8458
H 5.9206 5.9206 5.9206
! Electronic total energy ... -82.36 eV for the cell shown
! V ... 77.5 Å³/cell

---

[5]
! Li3TeH (SCAN, single point on PBEsol structure); values from VASP
&SYSTEM
  ibrav = 0, nat = 5, ntyp = 3
/
ATOMIC_SPECIES
Li 6.94 Li.upf
Te 127.60 Te.upf
H 1.01 H.upf
CELL_PARAMETERS angstrom
4.1463 0.0000 0.0000
0.0000 4.1463 0.0000
0.0000 0.0000 4.1463
ATOMIC_POSITIONS angstrom
Li 0.0000 0.0000 2.0731
Li 0.0000 2.0731 0.0000
Li 2.0731 0.0000 0.0000
Te 2.0731 2.0731 2.0731
H 0.0000 0.0000 0.0000
! Electronic total energy ... -52.14 eV for the cell shown
! V ... 71.3 Å³/cell

---

[6]
! Li2TlH (SCAN, single point on PBEsol structure); values from VASP
&SYSTEM
  ibrav = 0, nat = 8, ntyp = 3
/
ATOMIC_SPECIES
Li 6.94 Li.upf
Tl 204.38 Tl.upf
H 1.01 H.upf
CELL_PARAMETERS angstrom
-2.7742 2.7742 3.8742
2.7742 -2.7742 3.8742
2.7742 2.7742 -3.8742
ATOMIC_POSITIONS angstrom
Li 0.2743 1.3871 0.9686
Li -1.3871 2.4999 2.9057
Li -0.2743 4.1613 0.9686
Li 1.3871 3.0485 2.9057
Tl 2.7742 0.0000 1.9371
Tl 0.0000 0.0000 3.8742
H 0.0000 0.0000 0.0000
H 0.0000 2.7742 1.9371
! Electronic total energy ... -163.65 eV for the cell shown
! V ... 119.3 Å³/cell

---

[7]
! Li2TlH2 (SCAN, single point on PBEsol structure); values from VASP
&SYSTEM
  ibrav = 0, nat = 5, ntyp = 3
/
ATOMIC_SPECIES
Li 6.94 Li.upf
Tl 204.38 Tl.upf
H 1.01 H.upf
CELL_PARAMETERS angstrom
-1.7570 1.7570 5.0902
1.7570 -1.7570 5.0902
1.7570 1.7570 -5.0902
ATOMIC_POSITIONS angstrom
Li 0.0000 0.0000 1.9586
Li 0.0000 0.0000 8.2218
Tl 0.0000 0.0000 5.0902
H 1.7570 0.0000 2.5451
H 0.0000 1.7570 2.5451
! Electronic total energy ... -84.93 eV for the cell shown
! V ... 62.9 Å³/cell

---

[8]
! Li3TlH (SCAN, single point on PBEsol structure); values from VASP
&SYSTEM
  ibrav = 0, nat = 5, ntyp = 3
/
ATOMIC_SPECIES
Li 6.94 Li.upf
Tl 204.38 Tl.upf
H 1.01 H.upf
CELL_PARAMETERS angstrom
4.1181 0.0000 0.0000
0.0000 4.1181 0.0000
0.0000 0.0000 4.1181
ATOMIC_POSITIONS angstrom
Li 0.0000 0.0000 2.0590
Li 0.0000 2.0590 0.0000
Li 2.0590 0.0000 0.0000
Tl 2.0590 2.0590 2.0590
H 0.0000 0.0000 0.0000
! Electronic total energy ... -84.63 eV for the cell shown
! V ... 69.8 Å³/cell

---

What is the V in the seventh record?
62.9 Å³/cell

---

What is the electronic total energy in the seventh record?
-84.93 eV for the cell shown

---

Among the records above, which one has the highest V?
Sr3LiH